## Li3YS3 (PBE-GGA)

Data for a geometry-optimized Li3YS3 structure.

Results
D(E_F)	0.00	states/eV/atom
formation energy (no corrections)	-1615	meV per atom

Lattice parameters (Å, degrees): 7.005 7.005 7.609 62.60 62.60 60.00
Atoms (fractional coordinates):
Y1 0.666 0.666 0.001
Y2 0.334 0.334 0.999
Li1 0.131 0.415 0.637
Li2 0.869 0.585 0.363
Li3 0.415 0.817 0.637
Li4 0.585 0.183 0.363
Li5 0.817 0.131 0.637
Li6 0.183 0.869 0.363
S1 0.079 0.722 0.749
S2 0.921 0.278 0.251
S3 0.278 0.550 0.251
S4 0.550 0.921 0.251
S5 0.450 0.079 0.749
S6 0.722 0.450 0.749